LiCu2Te, single point on PBEsol structure, DFT SCAN; VASP energy = -17.613 eV/atom; space-group type = I4/mmm; volume = 15.01 A^3/atom
1.0
3.858 0.000 0.000
0.000 3.858 0.000
-1.929 -1.929 4.032
Cu Li Te
2 1 1
Direct
0.250 0.750 0.500 Cu
0.750 0.250 0.500 Cu
0.500 0.500 0.000 Li
0.000 0.000 0.000 Te

***

LiCuTe2, single point on PBEsol structure, DFT SCAN; VASP energy = -23.055 eV/atom; space-group type = P4/mmm; volume = 20.98 A^3/atom
1.0
3.311 0.000 0.000
0.000 3.311 0.000
0.000 0.000 7.656
Cu Li Te
1 1 2
Direct
0.500 0.500 0.000 Cu
0.500 0.500 0.500 Li
0.000 0.000 0.766 Te
0.000 0.000 0.234 Te

***

LiTiCu3, single point on PBEsol structure, DFT SCAN; VASP energy = -12.314 eV/atom; space-group type = Pm-3m; volume = 12.92 A^3/atom
1.0
4.012 0.000 0.000
0.000 4.012 0.000
0.000 0.000 4.012
Li Cu Ti
1 3 1
Direct
0.000 0.000 0.000 Li
0.000 0.500 0.000 Cu
0.000 0.000 0.500 Cu
0.500 0.000 0.000 Cu
0.500 0.500 0.500 Ti

***

LiTlCu4, single point on PBEsol structure, DFT SCAN; VASP energy = -22.578 eV/atom; space-group type = F-43m; volume = 13.96 A^3/atom
1.0
-4.671 0.533 -1.418
-3.643 -0.807 3.193
-2.664 3.764 1.688
Cu Li Tl
4 1 1
Direct
0.625 0.625 0.126 Cu
0.126 0.625 0.625 Cu
0.625 0.126 0.625 Cu
0.625 0.625 0.625 Cu
0.250 0.250 0.250 Li
0.000 0.000 0.000 Tl

***

Li3TlCu, single point on PBEsol structure, DFT SCAN; VASP energy = -18.840 eV/atom; space-group type = Pm-3m; volume = 19.47 A^3/atom
1.0
4.600 0.000 0.000
0.000 4.600 0.000
0.000 0.000 4.600
Tl Cu Li
1 1 3
Direct
0.500 0.500 0.500 Tl
0.000 0.000 0.000 Cu
0.000 0.500 0.000 Li
0.000 0.000 0.500 Li
0.500 0.000 0.000 Li

***

Li2TlCu2, single point on PBEsol structure, DFT SCAN; VASP energy = -21.480 eV/atom; space-group type = I4/mmm; volume = 15.85 A^3/atom
1.0
3.390 0.000 0.000
0.000 3.390 0.000
-1.695 -1.695 6.896
Tl Cu Li
1 2 2
Direct
0.000 0.000 0.000 Tl
0.250 0.750 0.500 Cu
0.750 0.250 0.500 Cu
0.388 0.388 0.777 Li
0.612 0.612 0.223 Li

***

Li2TlCu, single point on PBEsol structure, DFT SCAN; VASP energy = -23.134 eV/atom; space-group type = P4mm; volume = 16.54 A^3/atom
1.0
3.304 0.029 0.000
-0.029 3.304 0.000
0.000 0.000 6.060
Cu Li Tl
1 2 1
Direct
0.500 0.500 0.772 Cu
0.000 0.000 0.977 Li
0.500 0.500 0.240 Li
0.000 0.000 0.512 Tl

***

LiTl2Cu, single point on PBEsol structure, DFT SCAN; VASP energy = -40.513 eV/atom; space-group type = C2/m; volume = 20.09 A^3/atom
1.0
3.416 0.000 0.000
-1.708 4.361 -0.013
0.000 -1.403 5.399
Cu Li Tl
1 1 2
Direct
0.000 0.000 0.500 Cu
0.500 0.000 0.000 Li
0.742 0.483 0.737 Tl
0.258 0.517 0.263 Tl

***

Li2TlCu, single point on PBEsol structure, DFT SCAN; VASP energy = -23.172 eV/atom; space-group type = Pmmm; volume = 15.79 A^3/atom
1.0
-2.488 -0.394 1.811
0.997 -3.109 0.692
3.156 2.078 4.789
Cu Li Tl
1 2 1
Direct
0.500 0.500 0.500 Cu
0.000 0.000 0.716 Li
0.000 0.000 0.284 Li
0.500 0.500 0.000 Tl

***

LiTlCu3, single point on PBEsol structure, DFT SCAN; VASP energy = -23.419 eV/atom; space-group type = Pm-3m; volume = 14.76 A^3/atom
1.0
-2.789 -2.209 -2.222
2.498 -3.363 0.208
-1.891 -1.185 3.552
Tl Cu Li
1 3 1
Direct
0.500 0.500 0.500 Tl
0.000 0.500 0.000 Cu
0.000 0.000 0.500 Cu
0.500 0.000 0.000 Cu
0.000 0.000 0.000 Li

***

LiCu2W, single point on PBEsol structure, DFT SCAN; space-group type = Pmm2; volume = 12.94 A^3/atom; energy above the lowest structure with this stoichiometry = 0.0 meV/atom
1.0
2.524 0.000 0.000
0.000 3.879 0.000
0.000 0.000 5.287
Cu Li W
2 1 1
Direct
0.000 0.000 0.995 Cu
0.500 0.500 0.267 Cu
0.000 0.000 0.464 Li
0.500 0.500 0.774 W

***

LiCu2W, single point on PBEsol structure, DFT SCAN; space-group type = F-43m; volume = 12.17 A^3/atom; energy above the lowest structure with this stoichiometry = 215.0 meV/atom
1.0
-1.898 3.259 1.605
-1.941 -0.324 3.595
1.535 1.831 3.330
Cu Li W
2 1 1
Direct
0.000 0.000 0.000 Cu
0.750 0.750 0.750 Cu
0.500 0.500 0.500 Li
0.250 0.250 0.250 W

***

LiCu2W, single point on PBEsol structure, DFT SCAN; space-group type = I4/mmm; volume = 12.62 A^3/atom; energy above the lowest structure with this stoichiometry = 90.5 meV/atom
1.0
4.137 0.000 0.000
-2.069 3.602 0.065
0.000 2.314 3.430
Cu Li W
2 1 1
Direct
0.250 0.500 0.250 Cu
0.750 0.500 0.750 Cu
0.500 0.000 0.500 Li
0.000 0.000 0.000 W

***

LiYCu4, single point on PBEsol structure, DFT SCAN; VASP energy = -15.395 eV/atom; space-group type = F-43m; volume = 14.48 A^3/atom
1.0
4.972 0.000 0.000
2.486 4.306 0.000
2.486 1.435 4.059
Cu Li Y
4 1 1
Direct
0.871 0.376 0.376 Cu
0.376 0.376 0.376 Cu
0.376 0.376 0.871 Cu
0.376 0.871 0.376 Cu
0.750 0.750 0.750 Li
0.000 0.000 0.000 Y

***

LiYCu, single point on PBEsol structure, DFT SCAN; VASP energy = -15.096 eV/atom; space-group type = F-43m; volume = 21.80 A^3/atom
1.0
-3.163 2.320 -2.250
-3.509 -2.171 -1.851
-4.138 0.476 1.762
Cu Li Y
1 1 1
Direct
0.750 0.750 0.750 Cu
0.000 0.000 0.000 Li
0.500 0.500 0.500 Y

***

LiY2Cu2, single point on PBEsol structure, DFT SCAN; VASP energy = -17.896 eV/atom; space-group type = P4/mbm; volume = 20.45 A^3/atom
1.0
-2.655 -2.483 -0.026
1.484 -1.663 7.161
-4.903 5.219 2.228
Y Cu Li
4 4 2
Direct
0.500 0.171 0.671 Y
0.500 0.671 0.829 Y
0.500 0.829 0.329 Y
0.500 0.329 0.171 Y
0.000 0.379 0.879 Cu
0.000 0.879 0.621 Cu
0.000 0.621 0.121 Cu
0.000 0.121 0.379 Cu
0.000 0.000 0.000 Li
0.000 0.500 0.500 Li

***

LiY2Cu, single point on PBEsol structure, DFT SCAN; VASP energy = -18.193 eV/atom; space-group type = R-3m; volume = 24.79 A^3/atom
1.0
3.473 0.000 0.000
1.736 3.008 0.000
1.736 1.003 9.494
Cu Li Y
1 1 2
Direct
0.500 0.500 0.500 Cu
0.000 0.000 0.000 Li
0.236 0.236 0.291 Y
0.764 0.764 0.709 Y

***

LiY2Cu, single point on PBEsol structure, DFT SCAN; VASP energy = -18.424 eV/atom; space-group type = P4/mmm; volume = 22.24 A^3/atom
1.0
3.510 0.000 0.023
0.000 3.510 0.000
-0.048 0.000 7.221
Y Cu Li
2 1 1
Direct
0.000 0.000 0.776 Y
0.000 0.000 0.224 Y
0.500 0.500 0.000 Cu
0.500 0.500 0.500 Li

***

LiY3Cu, single point on PBEsol structure, DFT SCAN; VASP energy = -20.068 eV/atom; space-group type = Pm-3m; volume = 30.16 A^3/atom
1.0
-3.950 3.566 0.123
-3.405 -3.822 1.461
1.067 1.006 5.117
Y Cu Li
3 1 1
Direct
0.000 0.500 0.000 Y
0.000 0.000 0.500 Y
0.500 0.000 0.000 Y
0.000 0.000 0.000 Cu
0.500 0.500 0.500 Li

***

Li2ZnCu, single point on PBEsol structure, DFT SCAN; VASP energy = -8.523 eV/atom; space-group type = I-4m2; volume = 13.00 A^3/atom
1.0
-3.640 -0.576 1.614
1.229 -2.611 -3.176
1.684 -0.508 3.618
Zn Cu Li
1 1 2
Direct
0.500 0.000 0.500 Zn
0.250 0.500 0.750 Cu
0.000 0.000 0.000 Li
0.750 0.500 0.250 Li